Density functional theory data (PBE) for Rb after structural relaxation.

Values from the calculation:
The value obtained for the size of the total moment is 0.00 μB/atom. The calculation puts the electronic total energy at -0.9594 eV/atom. The energy of formation from the pure elements comes out at 0.8 kJ/mol of formula units. The energy above the lowest structure with this stoichiometry is 8 meV/atom. As for the space-group type: I4/mmm.

abc: 4.8779 4.8779 4.8779
angles: 107.66 107.66 113.15
Last column: nearest neighbours and their distance in Å.
Positions (direct):
Rb 0.0000 0.0000 0.0000  10 Rb 4.88-5.37